## In3SbO7 (PBE-GGA)

Data for crystalline In3SbO7 at its relaxed geometry.

Calculated values
SG: C222_1, No. 20
E_form (uncorrected): -16.389 eV/f.u.

a = 6.338 Å, b = 6.338 Å, c = 7.374 Å
α = 90.00°, β = 90.00°, γ = 109.57°
Sites, in units of the cell vectors:
1 In 0.002 0.002 0.000
2 In 0.025 0.499 0.250
3 In 0.499 0.025 0.750
4 In 0.501 0.975 0.250
5 In 0.975 0.501 0.750
6 In 0.998 0.998 0.500
7 Sb 0.500 0.500 0.000
8 Sb 0.500 0.500 0.500
9 O 0.129 0.871 0.750
10 O 0.140 0.860 0.250
11 O 0.170 0.425 0.973
12 O 0.171 0.427 0.528
13 O 0.425 0.170 0.027
14 O 0.427 0.171 0.472
15 O 0.432 0.568 0.250
16 O 0.568 0.432 0.750
17 O 0.573 0.829 0.972
18 O 0.575 0.830 0.527
19 O 0.829 0.573 0.028
20 O 0.830 0.575 0.473
21 O 0.860 0.140 0.750
22 O 0.871 0.129 0.250

---

## InSbO (PBE-GGA)

Data for crystalline InSbO at its relaxed geometry.

Calculated values
SG: C2/m, No. 12
E_form (uncorrected): -1.831 eV/f.u.

a = 6.980 Å, b = 6.980 Å, c = 6.643 Å
α = 114.26°, β = 114.26°, γ = 27.79°
Sites, in units of the cell vectors:
1 In 0.102 0.102 0.197
2 In 0.898 0.898 0.803
3 Sb 0.328 0.328 0.247
4 Sb 0.672 0.672 0.753
5 O 0.398 0.398 0.586
6 O 0.602 0.602 0.414